## a
This record from Alexandria describes a relaxed structure of RbRh2S2. The functional is PBE.

The structure in POSCAR format:
```
RbRh2S2
1.0
4.477 0.000 0.000
0.000 4.477 0.000
2.238 2.238 5.520
Rh S Rb
2 2 1
Direct
0.318 0.318 0.364
0.682 0.682 0.636
0.750 0.250 0.500
0.250 0.750 0.500
0.000 0.000 0.000
```

Calculated values
The crystal system is tetragonal. For the density of states at the Fermi level, the calculation gives 3.4 states/eV/f.u.



## b
This record from Alexandria describes a relaxed structure of RbRh2S2. The functional is PBE.

The structure in POSCAR format:
```
RbRh2S2
1.0
4.023 0.000 0.000
0.000 4.023 0.000
2.011 2.011 6.574
Rb Rh S
1 2 2
Direct
0.000 0.000 0.000
0.750 0.250 0.500
0.250 0.750 0.500
0.347 0.347 0.305
0.653 0.653 0.695
```

Calculated values
The crystal system is tetragonal. For the density of states at the Fermi level, the calculation gives 5.2 states/eV/f.u.



Which is most stable? The ranking, best first, is b, a.



## a
This record from Alexandria describes a relaxed structure of RbSbRh. The functional is PBE.

The structure in POSCAR format:
```
RbSbRh
1.0
-1.674 -2.354 -3.135
3.189 -2.801 0.400
-6.114 -5.864 7.669
Sb Rb Rh
2 2 2
Direct
0.000 0.500 0.367
0.500 0.000 0.633
0.500 0.000 0.189
0.000 0.500 0.811
0.000 0.000 0.500
0.500 0.500 0.500
```

Calculated values
The crystal system is tetragonal. For the density of states at the Fermi level, the calculation gives 1.8 states/eV/f.u.



## b
This record from Alexandria describes a relaxed structure of RbSbRh. The functional is PBE.

The structure in POSCAR format:
```
RbSbRh
1.0
4.659 0.000 0.000
0.000 4.659 0.000
0.000 0.000 8.266
Rh Rb Sb
2 2 2
Direct
0.000 0.000 0.500
0.500 0.500 0.500
0.500 0.000 0.160
0.000 0.500 0.840
0.000 0.500 0.348
0.500 0.000 0.652
```

Calculated values
The crystal system is tetragonal. For the density of states at the Fermi level, the calculation gives 2.4 states/eV/f.u.



Which is most stable? The ranking, best first, is a, b.



## a
This record from Alexandria describes a relaxed structure of RbSb2TeRh. The functional is PBE.

The structure in POSCAR format:
```
RbSb2TeRh
1.0
-0.799 1.701 -4.770
-1.643 -4.655 -1.385
-5.627 1.542 1.493
Te Sb Rh Rb
1 2 1 1
Direct
0.000 0.000 0.500
0.500 0.000 0.000
0.000 0.500 0.000
0.000 0.000 0.000
0.500 0.500 0.500
```

Calculated values
The crystal system is tetragonal. For the density of states at the Fermi level, the calculation gives 1.8 states/eV/f.u.



## b
This record from Alexandria describes a relaxed structure of RbSb2TeRh. The functional is PBE.

The structure in POSCAR format:
```
RbSb2TeRh
1.0
5.919 0.000 0.000
0.000 5.919 0.000
0.000 0.000 6.052
Rh Sb Te Rb
1 2 1 1
Direct
0.500 0.500 0.500
0.000 0.500 0.000
0.500 0.000 0.000
0.000 0.000 0.500
0.000 0.000 0.000
```

Calculated values
The crystal system is tetragonal. For the density of states at the Fermi level, the calculation gives 9.5 states/eV/f.u.



Which is most stable? The ranking, best first, is a, b.



## a
This record from Alexandria describes a relaxed structure of RbScRh3. The functional is PBE.

The structure in POSCAR format:
```
RbScRh3
1.0
-3.899 2.768 -1.063
-2.904 -3.208 2.296
0.602 2.458 4.194
Rh Rb Sc
3 1 1
Direct
0.000 0.500 0.000
0.000 0.000 0.500
0.500 0.000 0.000
0.500 0.500 0.500
0.000 0.000 0.000
```

Calculated values
The crystal system is cubic. For the density of states at the Fermi level, the calculation gives 4.0 states/eV/f.u.



## b
This record from Alexandria describes a relaxed structure of RbScRh3. The functional is PBE.

The structure in POSCAR format:
```
RbScRh3
1.0
4.796 0.000 0.000
0.000 4.796 0.000
0.000 0.000 4.796
Rh Sc Rb
3 1 1
Direct
0.000 0.000 0.500
0.500 0.000 0.000
0.000 0.500 0.000
0.500 0.500 0.500
0.000 0.000 0.000
```

Calculated values
The crystal system is cubic. For the density of states at the Fermi level, the calculation gives 5.8 states/eV/f.u.



Which is most stable? The ranking, best first, is a, b.



## a
This record from Alexandria describes a relaxed structure of Rb2ScRh. The functional is PBE.

The structure in POSCAR format:
```
Rb2ScRh
1.0
0.000 4.011 4.011
4.011 0.000 4.011
4.011 4.011 0.000
Rb Sc Rh
2 1 1
Direct
0.750 0.750 0.750
0.250 0.250 0.250
0.000 0.000 0.000
0.500 0.500 0.500
```

Calculated values
The crystal system is cubic. For the density of states at the Fermi level, the calculation gives 3.1 states/eV/f.u.



## b
This record from Alexandria describes a relaxed structure of Rb2ScRh. The functional is PBE.

The structure in POSCAR format:
```
Rb2ScRh
1.0
-12.733 1.639 -3.333
-3.082 -11.305 6.216
-8.278 -3.627 3.450
Sc Rh Rb
2 2 4
Direct
0.250 0.750 0.500
0.500 0.500 0.000
0.750 0.250 0.500
0.000 0.000 0.000
0.375 0.210 0.750
0.875 0.040 0.750
0.790 0.125 0.250
0.960 0.625 0.250
```

Calculated values
The crystal system is tetragonal. For the density of states at the Fermi level, the calculation gives 2.1 states/eV/f.u.



Which is most stable? The ranking, best first, is b, a.



## a
This record from Alexandria describes a relaxed structure of RbSc3Rh. The functional is PBE.

The structure in POSCAR format:
```
RbSc3Rh
1.0
-0.524 2.554 4.102
-3.398 -3.128 1.514
3.435 -2.704 2.123
Sc Rb Rh
3 1 1
Direct
0.000 0.500 0.000
0.000 0.000 0.500
0.500 0.000 0.000
0.000 0.000 0.000
0.500 0.500 0.500
```

Calculated values
The crystal system is cubic. For the density of states at the Fermi level, the calculation gives 4.5 states/eV/f.u.



## b
This record from Alexandria describes a relaxed structure of RbSc3Rh. The functional is PBE.

The structure in POSCAR format:
```
RbSc3Rh
1.0
-2.911 0.430 4.324
-3.641 -3.082 -2.145
2.371 -4.204 2.015
Rb Sc Rh
1 3 1
Direct
0.500 0.500 0.500
0.000 0.000 0.500
0.500 0.000 0.000
0.000 0.500 0.000
0.000 0.000 0.000
```

Calculated values
The crystal system is cubic. For the density of states at the Fermi level, the calculation gives 10.9 states/eV/f.u.



Which is most stable? The ranking, best first, is b, a.



## a
This record from Alexandria describes a relaxed structure of RbSi2Rh2. The functional is PBE.

The structure in POSCAR format:
```
RbSi2Rh2
1.0
-1.248 -3.684 0.050
1.157 -0.342 3.698
-6.609 0.242 4.137
Rh Si Rb
2 2 1
Direct
0.342 0.342 0.317
0.658 0.658 0.683
0.750 0.250 0.500
0.250 0.750 0.500
0.000 0.000 0.000
```

Calculated values
The crystal system is tetragonal. For the density of states at the Fermi level, the calculation gives 1.6 states/eV/f.u.



## b
This record from Alexandria describes a relaxed structure of RbSi2Rh2. The functional is PBE.

The structure in POSCAR format:
```
RbSi2Rh2
1.0
-3.651 -1.607 -6.756
-6.057 -2.997 3.986
-1.228 2.556 0.056
Si Rh Rb
4 4 2
Direct
0.868 0.368 0.500
0.632 0.868 0.500
0.132 0.632 0.500
0.368 0.132 0.500
0.867 0.633 0.000
0.367 0.867 0.000
0.633 0.133 0.000
0.133 0.367 0.000
0.500 0.500 0.000
0.000 0.000 0.000
```

Calculated values
The crystal system is tetragonal. For the density of states at the Fermi level, the calculation gives 2.4 states/eV/f.u.



## c
This record from Alexandria describes a relaxed structure of RbSi2Rh2. The functional is PBE.

The structure in POSCAR format:
```
RbSi2Rh2
1.0
4.143 0.000 0.000
0.000 4.143 0.000
2.071 2.071 6.561
Si Rh Rb
2 2 1
Direct
0.664 0.664 0.671
0.336 0.336 0.329
0.750 0.250 0.500
0.250 0.750 0.500
0.000 0.000 0.000
```

Calculated values
The crystal system is tetragonal. For the density of states at the Fermi level, the calculation gives 2.3 states/eV/f.u.



Which is most stable? The ranking, best first, is c, a, b.



## a
This record from Alexandria describes a relaxed structure of RbSn2Rh2. The functional is PBE.

The structure in POSCAR format:
```
RbSn2Rh2
1.0
-3.527 2.168 1.762
-2.471 -3.745 -0.339
-1.193 -2.498 6.429
Rb Rh Sn
1 2 2
Direct
0.000 0.000 0.000
0.750 0.250 0.500
0.250 0.750 0.500
0.358 0.358 0.283
0.642 0.642 0.717
```

Calculated values
The crystal system is tetragonal. For the density of states at the Fermi level, the calculation gives 2.3 states/eV/f.u.



## b
This record from Alexandria describes a relaxed structure of RbSn2Rh2. The functional is PBE.

The structure in POSCAR format:
```
RbSn2Rh2
1.0
-0.357 -8.304 -0.239
5.702 -0.419 6.037
-2.210 0.035 2.090
Sn Rh Rb
4 4 2
Direct
0.644 0.856 0.500
0.144 0.644 0.500
0.356 0.144 0.500
0.856 0.356 0.500
0.142 0.358 0.000
0.642 0.142 0.000
0.358 0.858 0.000
0.858 0.642 0.000
0.500 0.500 0.000
0.000 0.000 0.000
```

Calculated values
The crystal system is tetragonal. For the density of states at the Fermi level, the calculation gives 1.9 states/eV/f.u.



Which is most stable? The ranking, best first, is a, b.